Entry 1:
Entry from the Alexandria database: a geometry-optimized Na4Cd2Au structure (PBE).

The space group is I4/mmm (No. 139) and the conventional cell measures 5.5793, 5.5793 and 15.3179 Å, with angles of 90.00, 90.00 and 90.00 degrees. The asymmetric unit holds Na at (0.0000, 0.0000, 0.1893), Na at (0.0000, 0.5000, 0.0000), Cd at (0.0000, 0.0000, 0.3932) and Au at (0.0000, 0.0000, 0.0000).

The polymorph energy (0 for the lowest one) is 174.0 meV/atom.

Entry 2:
Entry from the Alexandria database: a geometry-optimized NaCd8Au4 structure (PBE).

The space group is I4/mmm (No. 139) and the conventional cell measures 9.9418, 9.9418 and 5.6929 Å, with angles of 90.00, 90.00 and 90.00 degrees. The asymmetric unit holds Na at (0.0000, 0.0000, 0.0000), Cd at (0.0000, 0.2142, 0.5000), Cd at (0.0000, 0.3426, 0.0000) and Au at (0.2500, 0.2500, 0.2500).

Entry 3:
Entry from the Alexandria database: a geometry-optimized Na2Cd3Au2 structure (PBE).

The space group is C2/m (No. 12) and the conventional cell measures 10.3768, 4.6494 and 7.2749 Å, with angles of 90.00, 111.25 and 90.00 degrees. The asymmetric unit holds Na at (0.1526, 0.0000, 0.2840), Cd at (0.0000, 0.5000, 0.5000), Cd at (0.1258, 0.5000, 0.9469) and Au at (0.1346, 0.0000, 0.7063).

Number 1: formation energy from the elements 16 meV/atom, E_tot -1.467 eV per atom. Number 2: formation energy from the elements -167 meV/atom, E_tot -1.840 eV per atom. Number 3: formation energy from the elements -257 meV/atom, E_tot -1.962 eV per atom.